Below is a relaxed structure of BaCoSe2O6, with properties calculated at the PBE with a Hubbard U level.

Cell lengths 4.6892, 4.6892, 15.8684 Å; angles 92.64, 92.64, 68.34 degrees
Each line ends with the local moment (μB).
Fractional positions:
Ba  0.9830  0.0170  0.2500  0.00
Ba  0.0170  0.9830  0.7500  0.00
O  0.7157  0.6373  0.3027  0.01
O  0.8078  0.2477  0.9022  0.05
O  0.1922  0.7523  0.0978  0.05
O  0.2477  0.8078  0.4022  0.05
O  0.7464  0.3117  0.0832  0.06
O  0.6883  0.2536  0.4168  0.05
O  0.3117  0.7464  0.5832  0.05
O  0.2843  0.3627  0.6973  0.01
O  0.3627  0.2843  0.1973  0.01
O  0.6373  0.7157  0.8027  0.01
O  0.2536  0.6883  0.9168  0.06
O  0.7523  0.1922  0.5978  0.05
Se  0.3648  0.3562  0.0935  0.01
Se  0.6352  0.6438  0.9065  0.01
Se  0.6438  0.6352  0.4065  0.01
Se  0.3562  0.3648  0.5935  0.01
Co  0.0000  0.0000  0.0000  2.67
Co  0.0000  0.0000  0.5000  2.67

Properties
ρ, Mg/m³: 4.62
E_tot, eV/atom: -5.75
Size of the total moment, μB per atom: 0.300
Symmetry: No. 15